(1)
Here is an optimized crystal structure of SmMgGaSn from Alexandria via LeMat-Bulk. Energies are from PBE.

It has space group F-43m (No. 216), with a = 7.3032 Å, b = 7.3032 Å, c = 7.3032 Å, α = 90.00°, β = 90.00° and γ = 90.00°. The distinct sites, in fractional coordinates, are Sm at (0.0000, 0.0000, 0.0000), Mg at (0.0000, 0.0000, 0.5000), Ga at (0.2500, 0.2500, 0.7500) and Sn at (0.2500, 0.2500, 0.2500).

The relative energy among the computed polymorphs comes out at 0.173 eV per atom. For the energy of formation from the pure elements, the calculation gives -327.4 meV/atom. The calculation puts the calculated volume at 389.5 Å³/cell. The calculated total energy comes out at -58.61 eV per cell.

=====

(2)
Here is an optimized crystal structure of TbSmMgGa from Alexandria via LeMat-Bulk. Energies are from PBE.

It has space group F-43m (No. 216), with a = 7.3925 Å, b = 7.3925 Å, c = 7.3925 Å, α = 90.00°, β = 90.00° and γ = 90.00°. The distinct sites, in fractional coordinates, are Tb at (0.0000, 0.0000, 0.0000), Sm at (0.0000, 0.0000, 0.5000), Mg at (0.2500, 0.2500, 0.7500) and Ga at (0.2500, 0.2500, 0.2500).

For the energy of formation from the pure elements, the calculation gives -342.8 meV/atom. The calculation puts the calculated volume at 404.0 Å³/cell. The calculated total energy comes out at -61.37 eV per cell.